# 1
The following is a DFT calculation (PBE) of a relaxed VSnPdRh2 crystal.

```
VSnPdRh2
1.0
4.8044 0.0000 0.0000
0.0000 4.8044 0.0000
0.0000 0.0000 4.8140
V Sn Pd Rh
1 1 1 2
direct
0.0000 0.0000 0.0000
0.5000 0.5000 0.5000
0.5000 0.5000 0.0000
0.0000 0.5000 0.5000
0.5000 0.0000 0.5000
```

Values from the calculation:
Final energy (eV per atom): -5.36
Calculated formation energy (eV per formula unit): 6.21
Crystal system: tetragonal
Calculated density (kg/m3): 7201

=====

# 2
The following is a DFT calculation (PBE) of a relaxed KRhCl2 crystal.

```
KRhCl2
1.0
5.7797 0.0000 0.0000
0.0000 5.7797 0.0000
0.0000 0.0000 13.9720
K Rh Cl
4 4 8
direct
0.0000 0.0000 0.0000
0.0000 0.5000 0.2500
0.5000 0.0000 0.7500
0.5000 0.5000 0.5000
0.0000 0.0000 0.5000
0.0000 0.5000 0.7500
0.5000 0.0000 0.2500
0.5000 0.5000 0.0000
0.1390 0.2500 0.6250
0.2500 0.6390 0.8750
0.2500 0.8610 0.3750
0.3610 0.2500 0.1250
0.6390 0.7500 0.1250
0.7500 0.1390 0.3750
0.7500 0.3610 0.8750
0.8610 0.7500 0.6250
```

Values from the calculation:
Final energy (eV per atom): -3.66
Crystal system: tetragonal
Calculated density (kg/m3): 3030
ΔE to the lowest computed polymorph (meV/atom): 156
Formation energy without anion corrections (eV per atom): -0.625

=====

# 3
The following is a DFT calculation (PBE) of a relaxed Sr2NpN3 crystal.

```
Sr2NpN3
1.0
3.0610 1.7673 6.1046
-3.0610 1.7673 6.1046
0.0000 -3.5345 6.1046
Sr Np N
4 2 6
direct
0.1738 0.1738 0.1738
0.3262 0.3262 0.3262
0.6738 0.6738 0.6738
0.8262 0.8262 0.8262
0.0000 0.0000 0.0000
0.5000 0.5000 0.5000
0.1636 0.7500 0.3364
0.2500 0.6636 0.8364
0.3364 0.1636 0.7500
0.6636 0.8364 0.2500
0.7500 0.3364 0.1636
0.8364 0.2500 0.6636
```

Values from the calculation:
Final energy (eV per atom): -7.51
Crystal system: trigonal
Calculated density (kg/m3): 7614
ΔE to the lowest computed polymorph (meV/atom): 322
Formation energy without anion corrections (eV per atom): -0.631

=====

# 4
The following is a DFT calculation (PBE) of a relaxed Ta2TiAg2S6 crystal.

```
Ta2TiAg2S6
1.0
2.9447 -5.0418 0.0000
2.9447 5.0418 0.0000
-1.7349 0.0000 7.3626
Ta Ti Ag S
2 1 2 6
direct
0.1513 0.8487 0.0000
0.8487 0.1513 0.0000
0.5000 0.5000 0.0000
0.2040 0.7960 0.5000
0.7960 0.2040 0.5000
0.1149 0.1149 0.7798
0.2258 0.5607 0.2011
0.4393 0.7742 0.7989
0.5607 0.2258 0.2011
0.7742 0.4393 0.7989
0.8851 0.8851 0.2202
```

Values from the calculation:
Final energy (eV per atom): -6.44
Crystal system: monoclinic
Calculated density (kg/m3): 6212
Formation energy without anion corrections (eV per atom): -0.799